Density functional theory data (PBE-GGA) for a relaxed BeSi2Ge crystal.

a b c (Å): 4.366 4.366 4.366
angles (deg): 60.00 60.00 60.00
Fractional coordinates of all 4 atoms:
Ge (0.500, 0.500, 0.500)
Be (0.000, 0.000, 0.000)
Si (0.750, 0.750, 0.750)
Si (0.250, 0.250, 0.250)

Output
The calculation puts the total magnetization at 0.0 μB/f.u. The formation energy from raw total energies comes out at 641 meV per atom.